# 1
The following is a PBE-GGA calculation of an optimized crystal structure of KPa2GeN5, from the Alexandria database.

Calculated values
Formation energy from raw total energies ... -0.91 eV/atom
V ... 14.15 A^3/atom

Lattice parameters (Å, degrees): 7.3751 7.3751 7.3751 125.78 125.78 80.24
Fractional coordinates of all 18 atoms:
K 0.2500 0.2500 0.0000
K 0.7500 0.7500 0.0000
Pa 0.1895 0.6895 0.8789
Pa 0.3105 0.1895 0.5000
Pa 0.6895 0.8105 0.5000
Pa 0.8105 0.3105 0.1211
Ge 0.2500 0.7500 0.5000
Ge 0.7500 0.2500 0.5000
N 0.0000 0.0000 0.0000
N 0.0084 0.2308 0.5000
N 0.2308 0.7308 0.2224
N 0.2692 0.4916 0.5000
N 0.4916 0.9916 0.2224
N 0.5000 0.5000 0.0000
N 0.5084 0.0084 0.7776
N 0.7308 0.5084 0.5000
N 0.7692 0.2692 0.7776
N 0.9916 0.7692 0.5000

***

# 2
The following is a PBE-GGA calculation of an optimized crystal structure of K3Pa2GeN6, from the Alexandria database.

Calculated values
Formation energy from raw total energies ... -0.56 eV/atom
N(E_F) ... 0.479 states/eV/atom
V ... 17.26 A^3/atom

Lattice parameters (Å, degrees): 6.3249 6.3249 6.6070 95.79 95.79 126.50
Fractional coordinates of all 12 atoms:
K 0.0000 0.0000 0.0000
K 0.3421 0.6579 0.0000
K 0.6579 0.3421 0.0000
Pa 0.1672 0.8328 0.5000
Pa 0.8328 0.1672 0.5000
Ge 0.5000 0.5000 0.5000
N 0.0659 0.4266 0.3146
N 0.2722 0.2722 0.6574
N 0.4266 0.0659 0.3146
N 0.5734 0.9341 0.6854
N 0.7278 0.7278 0.3426
N 0.9341 0.5734 0.6854

***

# 3
The following is a PBE-GGA calculation of an optimized crystal structure of KGeRh2N, from the Alexandria database.

Calculated values
Formation energy from raw total energies ... 0.50 eV/atom
N(E_F) ... 0.567 states/eV/atom
V ... 16.65 A^3/atom

Lattice parameters (Å, degrees): 4.1523 4.1523 4.8276 90.00 90.00 90.00
Fractional coordinates of all 5 atoms:
K 0.0000 0.0000 0.0000
Ge 0.5000 0.5000 0.0000
Rh 0.0000 0.5000 0.5000
Rh 0.5000 0.0000 0.5000
N 0.5000 0.5000 0.5000

***

# 4
The following is a PBE-GGA calculation of an optimized crystal structure of KGeS2N, from the Alexandria database.

Calculated values
Formation energy from raw total energies ... 1.66 eV/atom
Distance to the lowest polymorph of the same formula ... 1.362 eV per atom
N(E_F) ... 0.500 states/eV/atom
V ... 29.02 A^3/atom

Lattice parameters (Å, degrees): 5.5245 5.5245 4.7539 90.00 90.00 90.00
Fractional coordinates of all 5 atoms:
K 0.0000 0.0000 0.0000
Ge 0.5000 0.5000 0.5000
S 0.0000 0.5000 0.0000
S 0.5000 0.0000 0.0000
N 0.0000 0.0000 0.5000